A plane-wave DFT calculation with PBE-GGA was carried out for crystalline LiPaCd2O6 at its relaxed geometry.

Properties
* ρ: 6572 kg/m3
* formation energy from raw total energies: -1.743 eV/atom
* DOS(E_F): 6.38 states/eV/f.u.

Unit cell a=5.6593 b=5.6593 c=15.2703 alpha=90.00 beta=90.00 gamma=120.00
Space group R3 (No. 146, hexagonal axes)
Asymmetric unit:
Li (0.0000, 0.0000, 0.0000) (multiplicity 3)
Pa (0.0000, 0.0000, 0.5150) (multiplicity 3)
Cd (0.0000, 0.0000, 0.2174) (multiplicity 3)
Cd (0.0000, 0.0000, 0.7238) (multiplicity 3)
O (0.0132, 0.6398, 0.7781) (multiplicity 9)
O (0.0200, 0.3037, 0.6066) (multiplicity 9)